DFT (GGA-PBE) results for a relaxed Ti3CoB crystal.

Calculated values
Total energy in eV/atom: -7.45
DOS(E_F) in states/eV/f.u.: 7.1
Total magnetic moment in μB/cell: 1.68
Energy above the most stable polymorph in this dataset in eV/f.u.: 0.00
Calculated formation energy in eV/atom: 0.040

Cell: 4.2078 4.2078 4.2078 Å, 90.00 90.00 90.00°
Element x y z (fractional)
Ti: 0.0000 0.0000 0.5000
Ti: 0.0000 0.5000 0.0000
Ti: 0.5000 0.0000 0.0000
Co: 0.5000 0.5000 0.5000
B: 0.0000 0.0000 0.0000

DFT (GGA-PBE) results for a relaxed K2NpInTe4 crystal.

Calculated values
Total energy in eV/atom: -4.49
DOS(E_F) in states/eV/f.u.: 5.6
Total magnetic moment in μB/cell: 4.00
Formation energy (no corrections) in meV/atom: -684

Cell: 7.2468 7.2468 7.2468 Å, 106.37 106.37 115.87°
Element x y z (fractional)
K: 0.0000 0.5000 0.5000
K: 0.5000 0.0000 0.5000
Np: 0.0000 0.0000 0.0000
In: 0.5000 0.5000 0.0000
Te: 0.0879 0.0879 0.6330
Te: 0.4550 0.4550 0.3670
Te: 0.5450 0.9121 0.0000
Te: 0.9121 0.5450 0.0000

> DOS(E_F) of number 2 (K2NpInTe4)?

5.6 states/eV/f.u.

Please write out number 1 again, unchanged.
DFT (GGA-PBE) results for a relaxed Ti3CoB crystal.

Calculated values
Total energy in eV/atom: -7.45
DOS(E_F) in states/eV/f.u.: 7.1
Total magnetic moment in μB/cell: 1.68
Energy above the most stable polymorph in this dataset in eV/f.u.: 0.00
Calculated formation energy in eV/atom: 0.040

Cell: 4.2078 4.2078 4.2078 Å, 90.00 90.00 90.00°
Element x y z (fractional)
Ti: 0.0000 0.0000 0.5000
Ti: 0.0000 0.5000 0.0000
Ti: 0.5000 0.0000 0.0000
Co: 0.5000 0.5000 0.5000
B: 0.0000 0.0000 0.0000

> Among the records above, which one has the highest total energy?

K2NpInTe4

> Look up the DOS(E_F) of the second one.

5.6 states/eV/f.u.